#A
This record from Alexandria describes a relaxed YTh2Ir crystal. The functional is PBE.

abc: 3.8481 11.7129 10.0826
angles: 90.00 90.00 90.00
Space group Cmcm (No. 63)
Unique sites:
Y: 0.0000 0.0826 0.2500 x4
Th: 0.0000 0.3617 0.0609 x8
Ir: 0.0000 0.2104 0.7500 x4

Values from the calculation:
V, Å³ per atom: 28.403

#B
This record from Alexandria describes a relaxed YTh2Ir crystal. The functional is PBE.

abc: 3.8881 3.8881 30.9250
angles: 90.00 90.00 120.00
Space group R-3m (No. 166, hexagonal axes)
Unique sites:
Y: 0.0000 0.0000 0.0000 x3
Th: 0.0000 0.0000 0.1113 x6
Ir: 0.0000 0.0000 0.5000 x3

Values from the calculation:
V, Å³ per atom: 33.739

It turns out #A is the most stable, with the second structure 389 meV/atom higher.

#A
This record from Alexandria describes a relaxed YTh2Ir crystal. The functional is PBE.

abc: 3.9862 3.9862 27.2389
angles: 90.00 90.00 120.00
Space group R3m (No. 160, hexagonal axes)
Unique sites:
Y: 0.0000 0.0000 0.0000 x3
Th: 0.0000 0.0000 0.2281 x3
Th: 0.0000 0.0000 0.4377 x3
Ir: 0.0000 0.0000 0.8334 x3

Values from the calculation:
V, Å³ per atom: 31.232

#B
This record from Alexandria describes a relaxed YTh2Ir crystal. The functional is PBE.

abc: 7.2128 10.1182 6.2306
angles: 90.00 90.00 90.00
Space group Pnma (No. 62)
Unique sites:
Y: 0.0393 0.2500 0.1505 x4
Th: 0.1771 0.0606 0.6574 x8
Ir: 0.1150 0.7500 0.3942 x4

Values from the calculation:
V, Å³ per atom: 28.420

It turns out #B is the most stable, with the second structure 149 meV/atom higher.

#A
This record from Alexandria describes a relaxed Y2ThIr crystal. The functional is PBE.

abc: 3.4976 3.4976 8.6386
angles: 90.00 90.00 90.00
Space group P4/mmm (No. 123)
Unique sites:
Y: 0.0000 0.0000 0.1913 x2
Th: 0.5000 0.5000 0.5000 x1
Ir: 0.5000 0.5000 0.0000 x1

Values from the calculation:
V, Å³ per atom: 26.419

#B
This record from Alexandria describes a relaxed Y2ThIr crystal. The functional is PBE.

abc: 7.2003 9.6814 6.4817
angles: 90.00 90.00 90.00
Space group Pnma (No. 62)
Unique sites:
Y: 0.1757 0.0658 0.1679 x8
Th: 0.0409 0.2500 0.6554 x4
Ir: 0.1276 0.7500 0.9523 x4

Values from the calculation:
V, Å³ per atom: 28.240

It turns out #B is the most stable, with the second structure 182 meV/atom higher.